The following is a PBE calculation of an optimized crystal structure of Be2B2W, from Alexandria.

Computed properties:
For the total energy, the calculation gives -34.71 eV per formula unit. The value obtained for the density of states at the Fermi level is 2.517 states/eV per cell. The calculation puts the formation energy at -191 meV per atom. For the calculated volume, the calculation gives 8.368 Å³ per atom.

a b c (Å): 3.0960 4.8489 5.8820
angles (deg): 90.00 90.00 108.62
Fractional positions:
Be: 0.3113 0.6227 0.9542
Be: 0.6887 0.3773 0.4542
Be: 0.1283 0.2566 0.2068
Be: 0.8717 0.7434 0.7068
B: 0.2339 0.4678 0.6428
B: 0.7661 0.5322 0.1428
B: 0.9419 0.8837 0.0484
B: 0.0581 0.1163 0.5484
W: 0.4130 0.8260 0.3522
W: 0.5870 0.1740 0.8522


The following is a PBE calculation of an optimized crystal structure of Be3B2W2, from Alexandria.

Computed properties:
For the total energy, the calculation gives -52.42 eV per formula unit. The value obtained for the density of states at the Fermi level is 1.224 states/eV per cell. The calculation puts the formation energy at -283 meV per atom. For the calculated volume, the calculation gives 9.472 Å³ per atom.

a b c (Å): 3.1420 4.3459 5.3133
angles (deg): 100.64 90.00 111.19
Fractional positions:
Be: 0.3151 0.6301 0.1427
Be: 0.0000 0.0000 0.0000
Be: 0.6849 0.3699 0.8573
B: 0.0841 0.1682 0.6409
B: 0.9159 0.8318 0.3591
W: 0.6266 0.2531 0.3311
W: 0.3734 0.7469 0.6689


The following is a PBE calculation of an optimized crystal structure of Be16BW2, from Alexandria.

Computed properties:
For the total energy, the calculation gives -93.27 eV per formula unit. The value obtained for the density of states at the Fermi level is 6.377 states/eV per cell. The calculation puts the formation energy at -56 meV per atom. For the calculated volume, the calculation gives 8.397 Å³ per atom.

a b c (Å): 5.4574 5.4574 5.4574
angles (deg): 83.41 83.41 83.41
Fractional positions:
Be: 0.6966 0.0014 0.3048
Be: 0.0014 0.3048 0.6966
Be: 0.3048 0.6966 0.0014
Be: 0.0014 0.6966 0.3048
Be: 0.6966 0.3048 0.0014
Be: 0.3048 0.0014 0.6966
Be: 0.3491 0.8390 0.3491
Be: 0.8390 0.3491 0.3491
Be: 0.3491 0.3491 0.8390
Be: 0.6524 0.1618 0.6524
Be: 0.1618 0.6524 0.6524
Be: 0.6524 0.6524 0.1618
Be: 0.9987 0.5045 0.9987
Be: 0.5045 0.9987 0.9987
Be: 0.9987 0.9987 0.5045
Be: 0.0890 0.0890 0.0890
B: 0.8939 0.8939 0.8939
W: 0.6669 0.6669 0.6669
W: 0.3390 0.3390 0.3390


The following is a PBE calculation of an optimized crystal structure of Be2BW, from Alexandria.

Computed properties:
For the total energy, the calculation gives -26.11 eV per formula unit. The value obtained for the density of states at the Fermi level is 3.476 states/eV per cell. The calculation puts the formation energy at 244 meV per atom. For the calculated volume, the calculation gives 10.024 Å³ per atom.

a b c (Å): 6.0487 6.0487 4.8060
angles (deg): 51.00 51.00 90.00
Fractional positions:
Be: 0.5569 0.1250 0.2500
Be: 0.1930 0.6250 0.2500
Be: 0.3750 0.4430 0.7500
Be: 0.8750 0.8069 0.7500
B: 0.5000 0.5000 0.0000
B: 0.2500 0.7500 0.5000
W: 0.0000 0.0000 0.0000
W: 0.7500 0.2500 0.5000


The following is a PBE calculation of an optimized crystal structure of Be3BW, from Alexandria.

Computed properties:
For the total energy, the calculation gives -18.84 eV per formula unit. The value obtained for the density of states at the Fermi level is 5.847 states/eV per cell. For the excess energy over the best structure of this formula in the dataset, the calculation gives 2.534 eV/atom. The calculation puts the formation energy at 2393 meV per atom. For the calculated volume, the calculation gives 16.373 Å³ per atom.

a b c (Å): 4.3421 4.3421 4.3421
angles (deg): 90.00 90.00 90.00
Fractional positions:
Be: 0.0000 0.5000 0.0000
Be: 0.0000 0.0000 0.5000
Be: 0.5000 0.0000 0.0000
B: 0.5000 0.5000 0.5000
W: 0.0000 0.0000 0.0000


The following is a PBE calculation of an optimized crystal structure of BeB3W, from Alexandria.

Computed properties:
For the total energy, the calculation gives -29.78 eV per formula unit. The value obtained for the density of states at the Fermi level is 3.432 states/eV per cell. For the excess energy over the best structure of this formula in the dataset, the calculation gives 0.000 eV/atom. The calculation puts the formation energy at 1386 meV per atom. For the calculated volume, the calculation gives 8.877 Å³ per atom.

a b c (Å): 3.5406 3.5406 3.5406
angles (deg): 90.00 90.00 90.00
Fractional positions:
Be: 0.0000 0.0000 0.0000
B: 0.0000 0.5000 0.0000
B: 0.0000 0.0000 0.5000
B: 0.5000 0.0000 0.0000
W: 0.5000 0.5000 0.5000


The following is a PBE calculation of an optimized crystal structure of BeB3W, from Alexandria.

Computed properties:
For the total energy, the calculation gives -28.36 eV per formula unit. The value obtained for the density of states at the Fermi level is 1.880 states/eV per cell. For the excess energy over the best structure of this formula in the dataset, the calculation gives 0.285 eV/atom. The calculation puts the formation energy at 1671 meV per atom. For the calculated volume, the calculation gives 14.178 Å³ per atom.

a b c (Å): 4.1387 4.1387 4.1387
angles (deg): 90.00 90.00 90.00
Fractional positions:
Be: 0.5000 0.5000 0.5000
B: 0.0000 0.5000 0.0000
B: 0.0000 0.0000 0.5000
B: 0.5000 0.0000 0.0000
W: 0.0000 0.0000 0.0000


The following is a PBE calculation of an optimized crystal structure of BeBW2, from Alexandria.

Computed properties:
For the total energy, the calculation gives -37.79 eV per formula unit. The value obtained for the density of states at the Fermi level is 1.946 states/eV per cell. For the excess energy over the best structure of this formula in the dataset, the calculation gives 0.001 eV/atom. The calculation puts the formation energy at -370 meV per atom. For the calculated volume, the calculation gives 10.989 Å³ per atom.

a b c (Å): 3.1848 3.2015 4.5987
angles (deg): 110.37 90.00 90.00
Fractional positions:
Be: 0.5000 0.5608 0.1217
B: 0.0000 0.6901 0.3802
W: 0.0000 0.9762 0.9525
W: 0.5000 0.2721 0.5441


The following is a PBE calculation of an optimized crystal structure of BeBW4, from Alexandria.

Computed properties:
For the total energy, the calculation gives -61.41 eV per formula unit. The value obtained for the density of states at the Fermi level is 4.047 states/eV per cell. For the excess energy over the best structure of this formula in the dataset, the calculation gives 0.350 eV/atom. The calculation puts the formation energy at 134 meV per atom. For the calculated volume, the calculation gives 13.241 Å³ per atom.

a b c (Å): 5.5951 5.5951 6.4352
angles (deg): 115.77 115.77 90.00
Fractional positions:
Be: 0.5000 0.5000 0.0000
Be: 0.0000 0.0000 0.0000
B: 0.2500 0.2500 0.5000
B: 0.7500 0.7500 0.5000
W: 0.4633 0.9633 0.2669
W: 0.9633 0.8036 0.2669
W: 0.3036 0.4633 0.2669
W: 0.6964 0.5367 0.7331
W: 0.0367 0.1964 0.7331
W: 0.5367 0.0367 0.7331
W: 0.1964 0.6964 0.7331
W: 0.8036 0.3036 0.2669


The following is a PBE calculation of an optimized crystal structure of BeBW2, from Alexandria.

Computed properties:
For the total energy, the calculation gives -34.90 eV per formula unit. The value obtained for the density of states at the Fermi level is 4.021 states/eV per cell. For the excess energy over the best structure of this formula in the dataset, the calculation gives 0.723 eV/atom. The calculation puts the formation energy at 352 meV per atom. For the calculated volume, the calculation gives 12.240 Å³ per atom.

a b c (Å): 6.0848 6.0848 5.0504
angles (deg): 52.96 52.96 90.00
Fractional positions:
Be: 0.5000 0.5000 0.0000
Be: 0.2500 0.7500 0.5000
B: 0.0000 0.0000 0.0000
B: 0.7500 0.2500 0.5000
W: 0.6455 0.1250 0.2500
W: 0.1045 0.6250 0.2500
W: 0.3750 0.3545 0.7500
W: 0.8750 0.8955 0.7500


The following is a PBE calculation of an optimized crystal structure of Be3BW2, from Alexandria.

Computed properties:
For the total energy, the calculation gives -45.29 eV per formula unit. The value obtained for the density of states at the Fermi level is 0.940 states/eV per cell. The calculation puts the formation energy at -255 meV per atom. For the calculated volume, the calculation gives 9.997 Å³ per atom.

a b c (Å): 4.3850 4.3850 4.4035
angles (deg): 89.97 119.91 119.99
Fractional positions:
Be: 0.5000 0.5000 0.5000
Be: 0.0000 0.0000 0.5000
Be: 0.5000 0.0000 0.5000
B: 0.0000 0.0000 0.0000
W: 0.7488 0.3743 0.1231
W: 0.2512 0.6257 0.8769


The following is a PBE calculation of an optimized crystal structure of YBe2B6, from Alexandria.

Computed properties:
For the total energy, the calculation gives -55.81 eV per formula unit. The value obtained for the density of states at the Fermi level is 1.701 states/eV per cell. The calculation puts the formation energy at -204 meV per atom. For the calculated volume, the calculation gives 8.670 Å³ per atom.

a b c (Å): 3.0699 6.3282 5.3384
angles (deg): 126.35 106.71 90.00
Fractional positions:
Y: 0.0000 0.5000 0.0000
Be: 0.8501 0.8501 0.7001
Be: 0.1499 0.1499 0.2999
B: 0.6992 0.9579 0.3984
B: 0.3008 0.0421 0.6016
B: 0.3008 0.5595 0.6016
B: 0.5000 0.1378 0.0000
B: 0.5000 0.8622 0.0000
B: 0.6992 0.4405 0.3984


The following is a PBE calculation of an optimized crystal structure of YBe3B3, from Alexandria.

Computed properties:
For the total energy, the calculation gives -38.27 eV per formula unit. The value obtained for the density of states at the Fermi level is 4.306 states/eV per cell. The calculation puts the formation energy at -86 meV per atom. For the calculated volume, the calculation gives 11.429 Å³ per atom.

a b c (Å): 3.0790 7.1489 10.0786
angles (deg): 133.85 90.00 90.00
Fractional positions:
Y: 0.7500 0.4666 0.7341
Y: 0.2500 0.5334 0.2659
Be: 0.7500 0.7885 0.1825
Be: 0.7500 0.2162 0.3250
Be: 0.7500 0.9269 0.6134
Be: 0.2500 0.2115 0.8175
Be: 0.2500 0.7838 0.6750
Be: 0.2500 0.0731 0.3866
B: 0.7500 0.9484 0.4369
B: 0.7500 0.4338 0.9782
B: 0.7500 0.5724 0.5104
B: 0.2500 0.0516 0.5631
B: 0.2500 0.5662 0.0218
B: 0.2500 0.4276 0.4896


The following is a PBE calculation of an optimized crystal structure of Y3Be2B9, from Alexandria.

Computed properties:
For the total energy, the calculation gives -87.52 eV per formula unit. The value obtained for the density of states at the Fermi level is 3.248 states/eV per cell. The calculation puts the formation energy at -41 meV per atom. For the calculated volume, the calculation gives 10.394 Å³ per atom.

a b c (Å): 3.1722 7.0128 7.0128
angles (deg): 76.98 76.93 76.93
Fractional positions:
Y: 0.0000 0.0000 0.0000
Y: 0.6974 0.3026 0.3026
Y: 0.3026 0.6974 0.6974
Be: 0.5000 0.2931 0.7069
Be: 0.5000 0.7069 0.2931
B: 0.0000 0.5000 0.5000
B: 0.6621 0.0249 0.6510
B: 0.3379 0.9751 0.3490
B: 0.6621 0.6510 0.0249
B: 0.3379 0.3490 0.9751
B: 0.8552 0.8825 0.4070
B: 0.1448 0.1175 0.5930
B: 0.8552 0.4070 0.8825
B: 0.1448 0.5930 0.1175


The following is a PBE calculation of an optimized crystal structure of Y2BeB, from Alexandria.

Computed properties:
For the total energy, the calculation gives -22.61 eV per formula unit. The value obtained for the density of states at the Fermi level is 2.532 states/eV per cell. For the excess energy over the best structure of this formula in the dataset, the calculation gives 0.000 eV/atom. The calculation puts the formation energy at 180 meV per atom. For the calculated volume, the calculation gives 18.069 Å³ per atom.

a b c (Å): 4.6756 4.6756 4.6756
angles (deg): 60.00 60.00 60.00
Fractional positions:
Y: 0.2500 0.2500 0.2500
Y: 0.7500 0.7500 0.7500
Be: 0.0000 0.0000 0.0000
B: 0.5000 0.5000 0.5000


The following is a PBE calculation of an optimized crystal structure of YBe3B, from Alexandria.

Computed properties:
For the total energy, the calculation gives -10.25 eV per formula unit. The value obtained for the density of states at the Fermi level is 4.674 states/eV per cell. For the excess energy over the best structure of this formula in the dataset, the calculation gives 2.656 eV/atom. The calculation puts the formation energy at 2815 meV per atom. For the calculated volume, the calculation gives 27.516 Å³ per atom.

a b c (Å): 5.1624 5.1624 5.1624
angles (deg): 90.00 90.00 90.00
Fractional positions:
Y: 0.0000 0.0000 0.0000
Be: 0.0000 0.5000 0.0000
Be: 0.0000 0.0000 0.5000
Be: 0.5000 0.0000 0.0000
B: 0.5000 0.5000 0.5000


The following is a PBE calculation of an optimized crystal structure of Y2BeB10, from Alexandria.

Computed properties:
For the total energy, the calculation gives -89.29 eV per formula unit. The value obtained for the density of states at the Fermi level is 3.368 states/eV per cell. The calculation puts the formation energy at -451 meV per atom. For the calculated volume, the calculation gives 9.636 Å³ per atom.

a b c (Å): 4.1252 5.5484 10.9461
angles (deg): 90.00 90.00 90.00
Fractional positions:
Y: 0.5000 0.3050 0.8662
Y: 0.5000 0.6950 0.1338
Y: 0.5000 0.8050 0.6338
Y: 0.5000 0.1950 0.3662
Be: 0.0000 0.5000 0.5000
Be: 0.0000 0.0000 0.0000
B: 0.0000 0.1279 0.5398
B: 0.0000 0.8721 0.4602
B: 0.0000 0.6279 0.9602
B: 0.0000 0.3721 0.0398
B: 0.0000 0.1660 0.6980
B: 0.0000 0.8340 0.3020
B: 0.2998 0.1955 0.1112
B: 0.2998 0.8045 0.8888
B: 0.7002 0.6955 0.3888
B: 0.7002 0.3045 0.6112
B: 0.7002 0.8045 0.8888
B: 0.7002 0.1955 0.1112
B: 0.2998 0.3045 0.6112
B: 0.2998 0.6955 0.3888
B: 0.0000 0.0236 0.1850
B: 0.0000 0.9764 0.8150
B: 0.0000 0.5236 0.3150
B: 0.0000 0.4764 0.6850
B: 0.0000 0.3340 0.1980
B: 0.0000 0.6660 0.8020


The following is a PBE calculation of an optimized crystal structure of YBe3B, from Alexandria.

Computed properties:
For the total energy, the calculation gives -23.53 eV per formula unit. The value obtained for the density of states at the Fermi level is 1.701 states/eV per cell. For the excess energy over the best structure of this formula in the dataset, the calculation gives 0.000 eV/atom. The calculation puts the formation energy at 159 meV per atom. For the calculated volume, the calculation gives 11.550 Å³ per atom.

a b c (Å): 3.8654 3.8654 3.8654
angles (deg): 90.00 90.00 90.00
Fractional positions:
Y: 0.5000 0.5000 0.5000
Be: 0.0000 0.5000 0.0000
Be: 0.0000 0.0000 0.5000
Be: 0.5000 0.0000 0.0000
B: 0.0000 0.0000 0.0000